Record 1
Computed, not measured: an optimized crystal structure of ZrB2AsPt at the PBE level of DFT.

Summary:
The density of states at the Fermi level comes out at 1.8 states/eV/cell. As for the space group: P4/mmm, No. 123. As for the formation energy from the elements: 218 meV per atom.

The structure in CIF format:
```
data_ZrB2AsPt
_chemical_formula_sum 'Zr1 B2 As1 Pt1'
_cell_length_a 3.9886
_cell_length_b 3.9886
_cell_length_c 5.7292
_cell_angle_alpha 90.00
_cell_angle_beta 90.00
_cell_angle_gamma 90.00
_space_group_name_H-M_alt 'P 1'
_space_group_IT_number 1
loop_
_space_group_symop_operation_xyz
'x,y,z'
loop_
_atom_site_label
_atom_site_type_symbol
_atom_site_fract_x
_atom_site_fract_y
_atom_site_fract_z
Zr1 Zr 0.0000 0.0000 0.0000
B1 B 0.0000 0.5000 0.5000
B2 B 0.5000 0.0000 0.5000
As1 As 0.5000 0.5000 0.0000
Pt1 Pt 0.0000 0.0000 0.5000
```

Record 2
Computed, not measured: an optimized crystal structure of Pu2BAsRh6 at the PBE level of DFT.

Summary:
The density of states at the Fermi level comes out at 49.9 states/eV/cell. As for the space group: Pmmn, No. 59. As for the formation energy from the elements: -483 meV per atom.

The structure in CIF format:
```
data_Pu2BAsRh6
_chemical_formula_sum 'Pu4 B2 As2 Rh12'
_cell_length_a 5.7165
_cell_length_b 8.4369
_cell_length_c 7.0397
_cell_angle_alpha 90.00
_cell_angle_beta 90.00
_cell_angle_gamma 90.00
_space_group_name_H-M_alt 'P 1'
_space_group_IT_number 1
loop_
_space_group_symop_operation_xyz
'x,y,z'
loop_
_atom_site_label
_atom_site_type_symbol
_atom_site_fract_x
_atom_site_fract_y
_atom_site_fract_z
Pu1 Pu 0.2500 0.0275 0.2269
Pu2 Pu 0.2500 0.4725 0.2269
Pu3 Pu 0.7500 0.5275 0.7731
Pu4 Pu 0.7500 0.9725 0.7731
B1 B 0.2500 0.2500 0.6921
B2 B 0.7500 0.7500 0.3079
As1 As 0.2500 0.7500 0.8183
As2 As 0.7500 0.2500 0.1817
Rh1 Rh 0.0004 0.2500 0.9048
Rh2 Rh 0.9996 0.7500 0.0952
Rh3 Rh 0.0122 0.7500 0.5066
Rh4 Rh 0.2500 0.0056 0.6558
Rh5 Rh 0.2500 0.4944 0.6558
Rh6 Rh 0.4878 0.7500 0.5066
Rh7 Rh 0.4996 0.2500 0.9048
Rh8 Rh 0.5004 0.7500 0.0952
Rh9 Rh 0.5122 0.2500 0.4934
Rh10 Rh 0.7500 0.5056 0.3442
Rh11 Rh 0.7500 0.9944 0.3442
Rh12 Rh 0.9878 0.2500 0.4934
```

Record 3
Computed, not measured: an optimized crystal structure of Rb3BAs2 at the PBE level of DFT.

Summary:
The density of states at the Fermi level comes out at 5.2 states/eV/cell. As for the space group: Pnma, No. 62. As for the formation energy from the elements: -82 meV per atom.

The structure in CIF format:
```
data_Rb3BAs2
_chemical_formula_sum 'Rb12 B4 As8'
_cell_length_a 12.5993
_cell_length_b 3.5555
_cell_length_c 18.4629
_cell_angle_alpha 90.00
_cell_angle_beta 90.00
_cell_angle_gamma 90.00
_space_group_name_H-M_alt 'P 1'
_space_group_IT_number 1
loop_
_space_group_symop_operation_xyz
'x,y,z'
loop_
_atom_site_label
_atom_site_type_symbol
_atom_site_fract_x
_atom_site_fract_y
_atom_site_fract_z
Rb1 Rb 0.0778 0.2500 0.0876
Rb2 Rb 0.1195 0.7500 0.5501
Rb3 Rb 0.1686 0.2500 0.7730
Rb4 Rb 0.3314 0.7500 0.2730
Rb5 Rb 0.3805 0.2500 0.0501
Rb6 Rb 0.4222 0.7500 0.5876
Rb7 Rb 0.5778 0.2500 0.4124
Rb8 Rb 0.6195 0.7500 0.9499
Rb9 Rb 0.6686 0.2500 0.7270
Rb10 Rb 0.8314 0.7500 0.2270
Rb11 Rb 0.8805 0.2500 0.4499
Rb12 Rb 0.9222 0.7500 0.9124
B1 B 0.1644 0.2500 0.3892
B2 B 0.3356 0.7500 0.8892
B3 B 0.6644 0.2500 0.1108
B4 B 0.8356 0.7500 0.6108
As1 As 0.0846 0.7500 0.3589
As2 As 0.1930 0.7500 0.9382
As3 As 0.3070 0.2500 0.4382
As4 As 0.4154 0.2500 0.8589
As5 As 0.5846 0.7500 0.1411
As6 As 0.6930 0.7500 0.5618
As7 As 0.8070 0.2500 0.0618
As8 As 0.9154 0.2500 0.6411
```

Record 4
Computed, not measured: an optimized crystal structure of RbBAs at the PBE level of DFT.

Summary:
The relative energy among the computed polymorphs is 112.8 meV per atom. The density of states at the Fermi level comes out at 0.7 states/eV/cell. As for the space group: P2_1/c, No. 14. As for the formation energy from the elements: 161 meV per atom.

The structure in CIF format:
```
data_RbBAs
_chemical_formula_sum 'Rb4 B4 As4'
_cell_length_a 7.1493
_cell_length_b 6.5165
_cell_length_c 6.7513
_cell_angle_alpha 90.00
_cell_angle_beta 116.27
_cell_angle_gamma 90.00
_space_group_name_H-M_alt 'P 1'
_space_group_IT_number 1
loop_
_space_group_symop_operation_xyz
'x,y,z'
loop_
_atom_site_label
_atom_site_type_symbol
_atom_site_fract_x
_atom_site_fract_y
_atom_site_fract_z
Rb1 Rb 0.1603 0.1518 0.3579
Rb2 Rb 0.1603 0.3482 0.8579
Rb3 Rb 0.8397 0.6518 0.1421
Rb4 Rb 0.8397 0.8482 0.6421
B1 B 0.4008 0.6272 0.3008
B2 B 0.4008 0.8728 0.8008
B3 B 0.5992 0.1272 0.1992
B4 B 0.5992 0.3728 0.6992
As1 As 0.3932 0.6270 0.6040
As2 As 0.3932 0.8730 0.1040
As3 As 0.6068 0.1270 0.8960
As4 As 0.6068 0.3730 0.3960
```